PBE SiNi2P, optimized geometry; raw total energy = -5.9478 eV per atom; V = 12.46 Å³/atom; crystal system = orthorhombic
1.0
-1.5032 1.2508 -4.5794
1.3817 5.6178 1.0809
12.5720 -2.1834 -4.7231
P Ni Si
8 16 8
Direct
0.3176 0.0608 0.3191 P
0.6824 0.9392 0.6809 P
0.6824 0.4392 0.8191 P
0.8176 0.9392 0.1809 P
0.8176 0.4392 0.3191 P
0.1824 0.5608 0.6809 P
0.1824 0.0608 0.8191 P
0.3176 0.5608 0.1809 P
0.0138 0.6964 0.8227 Ni
0.9867 0.3034 0.9351 Ni
0.0133 0.1966 0.4351 Ni
0.5133 0.3034 0.4351 Ni
0.5133 0.8034 0.0649 Ni
0.9867 0.8034 0.5649 Ni
0.4862 0.6964 0.3227 Ni
0.9862 0.3036 0.1773 Ni
0.4867 0.1966 0.9351 Ni
0.4867 0.6966 0.5649 Ni
0.5138 0.3036 0.6773 Ni
0.9862 0.8036 0.3227 Ni
0.0133 0.6966 0.0649 Ni
0.0138 0.1964 0.6773 Ni
0.4862 0.1964 0.1773 Ni
0.5138 0.8036 0.8227 Ni
0.6806 0.4231 0.0601 Si
0.1806 0.0769 0.0601 Si
0.8194 0.9231 0.9399 Si
0.8194 0.4231 0.5601 Si
0.6806 0.9231 0.4399 Si
0.3194 0.0769 0.5601 Si
0.1806 0.5769 0.4399 Si
0.3194 0.5769 0.9399 Si

=====

PBE Si2Ni7P5, optimized geometry; raw total energy = -5.9100 eV per atom; V = 12.37 Å³/atom; crystal system = orthorhombic
1.0
23.9068 0.0000 0.0000
0.0000 5.8991 0.0000
0.0000 0.0000 4.9109
Si Ni P
8 28 20
Direct
0.7174 0.6576 0.2775 Si
0.7174 0.3424 0.7775 Si
0.7826 0.1576 0.2775 Si
0.2826 0.6576 0.2225 Si
0.2174 0.1576 0.2225 Si
0.2174 0.8424 0.7225 Si
0.7826 0.8424 0.7775 Si
0.2826 0.3424 0.7225 Si
0.4261 0.9542 0.5015 Ni
0.5739 0.9542 0.9986 Ni
0.0739 0.4542 0.5015 Ni
0.2056 0.5328 0.0012 Ni
0.7056 0.9672 0.9988 Ni
0.3601 0.5518 0.4930 Ni
0.0000 0.0000 0.5000 Ni
0.7944 0.5328 0.4988 Ni
0.5000 0.5000 0.5000 Ni
0.7056 0.0328 0.4988 Ni
0.7944 0.4672 0.9988 Ni
0.9261 0.5458 0.4986 Ni
0.3601 0.4482 0.9930 Ni
0.5739 0.0458 0.4986 Ni
0.2944 0.0328 0.0012 Ni
0.5000 0.5000 0.0000 Ni
0.1399 0.9482 0.9930 Ni
0.8601 0.9482 0.5070 Ni
0.4261 0.0458 0.0015 Ni
0.6399 0.5518 0.0070 Ni
0.6399 0.4482 0.5070 Ni
0.1399 0.0518 0.4930 Ni
0.9261 0.4542 0.9986 Ni
0.2056 0.4672 0.5012 Ni
0.8601 0.0518 0.0070 Ni
0.0739 0.5458 0.0015 Ni
0.2944 0.9672 0.5012 Ni
0.0000 0.0000 0.0000 Ni
0.4274 0.3224 0.6878 P
0.3581 0.1857 0.3138 P
0.1419 0.6857 0.3138 P
0.1419 0.3143 0.8138 P
0.5000 0.1682 0.2500 P
0.9274 0.8224 0.8122 P
0.6419 0.1857 0.1862 P
0.5726 0.6776 0.3122 P
0.0726 0.8224 0.6878 P
0.0726 0.1776 0.1878 P
0.5726 0.3224 0.8122 P
0.4274 0.6776 0.1878 P
0.9274 0.1776 0.3122 P
0.0000 0.3318 0.7500 P
0.6419 0.8143 0.6862 P
0.8581 0.3143 0.6862 P
0.5000 0.8318 0.7500 P
0.8581 0.6857 0.1862 P
0.0000 0.6682 0.2500 P
0.3581 0.8143 0.8138 P

=====

PBE SmSiNi2P, optimized geometry; raw total energy = -6.2938 eV per atom; V = 14.87 Å³/atom; crystal system = tetragonal
1.0
-1.9745 1.9745 4.7666
1.9745 -1.9745 4.7666
1.9745 1.9745 -4.7666
Sm Si Ni P
1 1 2 1
Direct
0.0017 0.0017 0.0000 Sm
0.3744 0.3744 0.0000 Si
0.2491 0.7491 0.5000 Ni
0.7491 0.2491 0.5000 Ni
0.6256 0.6256 0.0000 P

=====

PBE Zn2SiNiP4, optimized geometry; raw total energy = -4.5289 eV per atom; V = 18.55 Å³/atom; crystal system = tetragonal
1.0
-2.6310 2.6310 5.3587
2.6310 -2.6310 5.3587
2.6310 2.6310 -5.3587
Ni P Zn Si
1 4 2 1
Direct
0.0000 0.0000 0.0000 Ni
0.1160 0.6520 0.0157 P
0.6363 0.1003 0.9843 P
0.3480 0.3637 0.4640 P
0.8997 0.8840 0.5360 P
0.7500 0.2500 0.5000 Zn
0.5000 0.5000 0.0000 Zn
0.2500 0.7500 0.5000 Si